(1)
Material: Pr3Cd5S12
Method: DFT, PBE-GGA
State: relaxed

ΔE_f (raw)   -0.796 eV per atom

a = 13.8010 Å, b = 13.8010 Å, c = 13.8010 Å
α = 109.47°, β = 109.47°, γ = 109.47°
Element x y z (fractional)
Pr (0.1250, 0.2500, 0.3750)
Pr (0.1250, 0.3750, 0.7500)
Pr (0.2500, 0.3750, 0.1250)
Pr (0.2500, 0.8750, 0.6250)
Pr (0.3750, 0.1250, 0.2500)
Pr (0.3750, 0.7500, 0.1250)
Pr (0.6250, 0.2500, 0.8750)
Pr (0.6250, 0.8750, 0.7500)
Pr (0.7500, 0.1250, 0.3750)
Pr (0.7500, 0.6250, 0.8750)
Pr (0.8750, 0.6250, 0.2500)
Pr (0.8750, 0.7500, 0.6250)
Cd (0.0000, 0.0000, 0.0000)
Cd (0.0000, 0.0000, 0.5000)
Cd (0.0000, 0.5000, 0.0000)
Cd (0.0000, 0.5000, 0.5000)
Cd (0.1250, 0.7500, 0.8750)
Cd (0.1250, 0.8750, 0.2500)
Cd (0.2500, 0.1250, 0.8750)
Cd (0.2500, 0.6250, 0.3750)
Cd (0.3750, 0.2500, 0.6250)
Cd (0.3750, 0.6250, 0.7500)
Cd (0.5000, 0.0000, 0.0000)
Cd (0.5000, 0.0000, 0.5000)
Cd (0.5000, 0.5000, 0.0000)
Cd (0.5000, 0.5000, 0.5000)
Cd (0.6250, 0.3750, 0.2500)
Cd (0.6250, 0.7500, 0.3750)
Cd (0.7500, 0.3750, 0.6250)
Cd (0.7500, 0.8750, 0.1250)
Cd (0.8750, 0.1250, 0.7500)
Cd (0.8750, 0.2500, 0.1250)
S (0.0476, 0.2207, 0.1335)
S (0.0476, 0.3269, 0.9141)
S (0.0859, 0.6335, 0.4128)
S (0.0859, 0.9524, 0.6731)
S (0.0872, 0.7207, 0.6731)
S (0.0872, 0.8665, 0.4141)
S (0.1335, 0.0476, 0.2207)
S (0.1335, 0.5859, 0.9128)
S (0.1731, 0.2207, 0.5872)
S (0.1731, 0.4524, 0.5859)
S (0.2207, 0.1335, 0.0476)
S (0.2207, 0.5872, 0.1731)
S (0.2793, 0.3269, 0.9128)
S (0.2793, 0.4524, 0.3665)
S (0.3269, 0.9128, 0.2793)
S (0.3269, 0.9141, 0.0476)
S (0.3665, 0.2793, 0.4524)
S (0.3665, 0.5872, 0.9141)
S (0.4128, 0.0859, 0.6335)
S (0.4128, 0.8269, 0.7793)
S (0.4141, 0.0872, 0.8665)
S (0.4141, 0.8269, 0.5476)
S (0.4524, 0.3665, 0.2793)
S (0.4524, 0.5859, 0.1731)
S (0.5476, 0.4141, 0.8269)
S (0.5476, 0.6335, 0.7207)
S (0.5859, 0.1731, 0.4524)
S (0.5859, 0.9128, 0.1335)
S (0.5872, 0.1731, 0.2207)
S (0.5872, 0.9141, 0.3665)
S (0.6335, 0.4128, 0.0859)
S (0.6335, 0.7207, 0.5476)
S (0.6731, 0.0859, 0.9524)
S (0.6731, 0.0872, 0.7207)
S (0.7207, 0.5476, 0.6335)
S (0.7207, 0.6731, 0.0872)
S (0.7793, 0.4128, 0.8269)
S (0.7793, 0.8665, 0.9524)
S (0.8269, 0.5476, 0.4141)
S (0.8269, 0.7793, 0.4128)
S (0.8665, 0.4141, 0.0872)
S (0.8665, 0.9524, 0.7793)
S (0.9128, 0.1335, 0.5859)
S (0.9128, 0.2793, 0.3269)
S (0.9141, 0.0476, 0.3269)
S (0.9141, 0.3665, 0.5872)
S (0.9524, 0.6731, 0.0859)
S (0.9524, 0.7793, 0.8665)

***

(2)
Material: PrCdS2
Method: DFT, PBE-GGA
State: relaxed

ΔE_f (raw)   -1.154 eV per atom

a = 4.1867 Å, b = 4.1867 Å, c = 24.6794 Å
α = 90.00°, β = 90.00°, γ = 120.00°
Element x y z (fractional)
Pr (0.0000, 0.0000, 0.0000)
Pr (0.3333, 0.6667, 0.6667)
Pr (0.6667, 0.3333, 0.3333)
Cd (0.0000, 0.0000, 0.5000)
Cd (0.3333, 0.6667, 0.1667)
Cd (0.6667, 0.3333, 0.8333)
S (0.0000, 0.0000, 0.3955)
S (0.0000, 0.0000, 0.6045)
S (0.3333, 0.6667, 0.0622)
S (0.3333, 0.6667, 0.2711)
S (0.6667, 0.3333, 0.7289)
S (0.6667, 0.3333, 0.9378)

***

(3)
Material: Pr2CdS4
Method: DFT, PBE-GGA
State: relaxed

ΔE_f (raw)   -1.482 eV per atom

a = 6.8905 Å, b = 7.0555 Å, c = 7.8471 Å
α = 90.00°, β = 106.74°, γ = 90.00°
Element x y z (fractional)
Pr (0.2053, 0.2500, 0.0532)
Pr (0.2154, 0.2500, 0.5523)
Pr (0.7846, 0.7500, 0.4477)
Pr (0.7947, 0.7500, 0.9468)
Cd (0.2670, 0.7500, 0.8153)
Cd (0.7330, 0.2500, 0.1847)
S (0.0078, 0.5074, 0.2532)
S (0.0078, 0.9926, 0.2532)
S (0.4892, 0.7500, 0.6179)
S (0.4937, 0.7500, 0.1254)
S (0.5063, 0.2500, 0.8746)
S (0.5108, 0.2500, 0.3821)
S (0.9922, 0.0074, 0.7468)
S (0.9922, 0.4926, 0.7468)

***

(4)
Material: PrCdSbS
Method: DFT, PBE-GGA
State: relaxed

ΔE_f (raw)   -0.981 eV per atom

a = 4.6789 Å, b = 4.6789 Å, c = 9.9795 Å
α = 90.00°, β = 90.00°, γ = 90.00°
Element x y z (fractional)
Pr (0.2500, 0.2500, 0.1539)
Pr (0.7500, 0.7500, 0.8461)
Cd (0.2500, 0.7500, 0.5000)
Cd (0.7500, 0.2500, 0.5000)
Sb (0.2500, 0.2500, 0.6894)
Sb (0.7500, 0.7500, 0.3106)
S (0.2500, 0.7500, 0.0000)
S (0.7500, 0.2500, 0.0000)

***

(5)
Material: Sr3Pr3CdS8
Method: DFT, PBE-GGA
State: relaxed

ΔE_f (raw)   -1.835 eV per atom

a = 8.3978 Å, b = 8.3978 Å, c = 8.3978 Å
α = 58.89°, β = 58.89°, γ = 58.89°
Element x y z (fractional)
Sr (0.0000, 0.5000, 0.5000)
Sr (0.5000, 0.0000, 0.5000)
Sr (0.5000, 0.5000, 0.0000)
Pr (0.0000, 0.0000, 0.5000)
Pr (0.0000, 0.5000, 0.0000)
Pr (0.5000, 0.0000, 0.0000)
Cd (0.5000, 0.5000, 0.5000)
S (0.2469, 0.2469, 0.2469)
S (0.2509, 0.7392, 0.7392)
S (0.2608, 0.2608, 0.7491)
S (0.2608, 0.7491, 0.2608)
S (0.7392, 0.2509, 0.7392)
S (0.7392, 0.7392, 0.2509)
S (0.7491, 0.2608, 0.2608)
S (0.7531, 0.7531, 0.7531)

***

(6)
Material: Pr2Cd16Sb
Method: DFT, PBE-GGA
State: relaxed

ΔE_f (raw)   -0.157 eV per atom

a = 7.7050 Å, b = 7.7050 Å, c = 7.7050 Å
α = 84.15°, β = 84.15°, γ = 84.15°
Element x y z (fractional)
Pr (0.0000, 0.0000, 0.0000)
Pr (0.3353, 0.3353, 0.3353)
Cd (0.0210, 0.0210, 0.4865)
Cd (0.0210, 0.4865, 0.0210)
Cd (0.1470, 0.6794, 0.6794)
Cd (0.3167, 0.3167, 0.8293)
Cd (0.3167, 0.8293, 0.3167)
Cd (0.3524, 0.6644, 0.9819)
Cd (0.3524, 0.9819, 0.6644)
Cd (0.4865, 0.0210, 0.0210)
Cd (0.6644, 0.3524, 0.9819)
Cd (0.6644, 0.9819, 0.3524)
Cd (0.6794, 0.1470, 0.6794)
Cd (0.6794, 0.6794, 0.1470)
Cd (0.7645, 0.7645, 0.7645)
Cd (0.8293, 0.3167, 0.3167)
Cd (0.9819, 0.3524, 0.6644)
Cd (0.9819, 0.6644, 0.3524)
Sb (0.5583, 0.5583, 0.5583)

***

ΔE_f (raw) of number 1 (Pr3Cd5S12)?
-0.796 eV per atom

***

Look up the ΔE_f (raw) of the third one.
-1.482 eV per atom